Compound: NaCdCo3
Source: Alexandria via LeMat-Bulk
Functional: PBE
Structure: relaxed

The energy above the most stable polymorph in this dataset comes out at 0 meV per atom. The energy relative to the elements is 1.4879 eV/atom.

It has space group Pm-3m (No. 221), with a = 4.845 Å, b = 4.845 Å, c = 4.845 Å, α = 90.00°, β = 90.00° and γ = 90.00°. The distinct sites, in fractional coordinates, are Na at (0.000, 0.000, 0.000), Cd at (0.500, 0.500, 0.500) and Co at (0.000, 0.500, 0.500).